No. 1
Below is an optimized crystal structure of PmNd3C, with properties calculated at the PBE level.

Properties
**Density of states at the Fermi level**: 6.69 states/eV per cell
**E_form**: 103 meV per atom
**Theoretical density**: 6.8 g/cm3
**Crystal system**: cubic
**Magnetization**: 0.00 Bohr magnetons per cell

a b c (Å): 5.2509 5.2509 5.2509
angles (deg): 90.00 90.00 90.00
Last column: nearest neighbours and their distance in Å.
Positions (direct):
Pm (0.0000, 0.0000, 0.0000)  12 Nd 3.71
Nd (0.0000, 0.5000, 0.5000)  2 C 2.63
Nd (0.5000, 0.0000, 0.5000)  2 C 2.63
Nd (0.5000, 0.5000, 0.0000)  2 C 2.63
C (0.5000, 0.5000, 0.5000)  6 Nd 2.63

***

No. 2
Below is an optimized crystal structure of B2H2Os, with properties calculated at the PBE level.

Properties
**Density of states at the Fermi level**: 1.98 states/eV per cell
**Theoretical density**: 11.4 g/cm3
**Crystal system**: tetragonal
**Magnetization**: 0.00 Bohr magnetons per cell
**Offset from the most stable computed form**: 0.221 eV/atom

a b c (Å): 4.2042 4.2042 4.2042
angles (deg): 139.37 139.37 58.81
Last column: nearest neighbours and their distance in Å.
Positions (direct):
B (0.2500, 0.7500, 0.5000)  4 H 1.77
B (0.7500, 0.2500, 0.5000)  4 H 1.77
H (0.1131, 0.1131, 0.0000)  1 H 1.66, 4 B 1.77
H (0.8869, 0.8869, 0.0000)  1 H 1.66, 4 B 1.77
Os (0.5000, 0.5000, 0.0000)  8 H 2.22, 8 B 2.34

***

No. 3
Below is an optimized crystal structure of BeBiO2, with properties calculated at the PBE level.

Properties
**Density of states at the Fermi level**: 1.55 states/eV per cell
**Theoretical density**: 6.9 g/cm3
**Crystal system**: trigonal
**Uncorrected formation energy**: -1171 meV per atom
**Magnetization**: 0.00 Bohr magnetons per cell
**Offset from the most stable computed form**: 0.316 eV/atom

a b c (Å): 6.5476 6.5476 6.5476
angles (deg): 29.48 29.48 29.48
Last column: nearest neighbours and their distance in Å.
Positions (direct):
Be (0.0000, 0.0000, 0.0000)  2 O 1.44
Bi (0.5000, 0.5000, 0.5000)  6 O 2.56
O (0.0765, 0.0765, 0.0765)  1 Be 1.44
O (0.9235, 0.9235, 0.9235)  1 Be 1.44

***

No. 4
Below is an optimized crystal structure of Mg3CrGa, with properties calculated at the PBE level.

Properties
**Density of states at the Fermi level**: 3.78 states/eV per cell
**E_form**: 739 meV per atom
**Theoretical density**: 2.3 g/cm3
**Crystal system**: cubic
**Magnetization**: 4.43 Bohr magnetons per cell
**Offset from the most stable computed form**: 0.000 eV/atom

a b c (Å): 5.2144 5.2144 5.2144
angles (deg): 90.00 90.00 90.00
Last column: nearest neighbours and their distance in Å.
Positions (direct):
Mg (0.0000, 0.0000, 0.5000)  2 Cr 2.61
Mg (0.0000, 0.5000, 0.0000)  2 Cr 2.61
Mg (0.5000, 0.0000, 0.0000)  2 Cr 2.61
Cr (0.0000, 0.0000, 0.0000)  6 Mg 2.61
Ga (0.5000, 0.5000, 0.5000)  12 Mg 3.69

***

No. 5
Below is an optimized crystal structure of HfGeMo, with properties calculated at the PBE level.

Properties
**Density of states at the Fermi level**: 1.27 states/eV per cell
**E_form**: -302 meV per atom
**Theoretical density**: 11.0 g/cm3
**Crystal system**: tetragonal
**Magnetization**: 0.00 Bohr magnetons per cell

a b c (Å): 5.0774 5.0774 5.0774
angles (deg): 140.60 140.60 56.94
Last column: nearest neighbours and their distance in Å.
Positions (direct):
Hf (0.0000, 0.0000, 0.0000)  5 Ge 2.85-2.91, 5 Mo 2.88-2.90
Ge (0.6806, 0.6806, 0.0000)  4 Mo 2.74, 5 Hf 2.85-2.91
Mo (0.3254, 0.3254, 0.0000)  4 Ge 2.74, 5 Hf 2.88-2.90

***

No. 6
Below is an optimized crystal structure of IrWBr2, with properties calculated at the PBE level.

Properties
**Density of states at the Fermi level**: 3.20 states/eV per cell
**Theoretical density**: 12.2 g/cm3
**Crystal system**: monoclinic
**Uncorrected formation energy**: 1170 meV per atom
**Magnetization**: 0.88 Bohr magnetons per cell
**Offset from the most stable computed form**: 1.099 eV/atom

a b c (Å): 5.3797 5.3797 3.0849
angles (deg): 104.12 104.12 113.69
Last column: nearest neighbours and their distance in Å.
Positions (direct):
Ir (0.0000, 0.0000, 0.0000)  4 Br 2.69, 2 W 2.94
W (0.5000, 0.5000, 0.0000)  4 Br 2.69, 2 Ir 2.94
Br (0.0000, 0.5000, 0.0000)  2 W 2.69, 2 Ir 2.69, 2 Br 2.94
Br (0.5000, 0.0000, 0.0000)  2 W 2.69, 2 Ir 2.69, 2 Br 2.94

***

No. 7
Below is an optimized crystal structure of HgAsSe2N, with properties calculated at the PBE level.

Properties
**Density of states at the Fermi level**: 11.05 states/eV per cell
**Theoretical density**: 5.3 g/cm3
**Crystal system**: tetragonal
**Uncorrected formation energy**: 2168 meV per atom
**Magnetization**: 0.00 Bohr magnetons per cell
**Offset from the most stable computed form**: 1.402 eV/atom

a b c (Å): 5.1824 5.1824 5.2461
angles (deg): 90.00 90.00 90.00
Last column: nearest neighbours and their distance in Å.
Positions (direct):
Hg (0.0000, 0.0000, 0.0000)  4 Se 2.59, 2 As 2.62
As (0.0000, 0.0000, 0.5000)  2 Hg 2.62
Se (0.0000, 0.5000, 0.0000)  2 Hg 2.59
Se (0.5000, 0.0000, 0.0000)  2 Hg 2.59
N (0.5000, 0.5000, 0.5000)  4 As 3.66, 8 Se 3.69

***

No. 8
Below is an optimized crystal structure of Ba4PtBr5, with properties calculated at the PBE level.

Properties
**Density of states at the Fermi level**: 3.17 states/eV per cell
**Theoretical density**: 4.3 g/cm3
**Crystal system**: monoclinic
**Uncorrected formation energy**: -1773 meV per atom
**Magnetization**: 0.00 Bohr magnetons per cell

a b c (Å): 10.4514 10.4514 9.5170
angles (deg): 108.63 108.63 26.41
Last column: nearest neighbours and their distance in Å.
Positions (direct):
Ba (0.0029, 0.0029, 0.2445)  4 Br 3.23-3.42, 2 Pt 3.32
Ba (0.3376, 0.3376, 0.8862)  1 Pt 3.12, 5 Br 3.23-3.39
Ba (0.6624, 0.6624, 0.1138)  1 Pt 3.12, 5 Br 3.23-3.39
Ba (0.9971, 0.9971, 0.7555)  4 Br 3.23-3.42, 2 Pt 3.32
Pt (0.5000, 0.5000, 0.0000)  6 Ba 3.12-3.32
Br (0.1693, 0.1693, 0.8748)  4 Ba 3.31-3.39
Br (0.1708, 0.1708, 0.3471)  3 Ba 3.23
Br (0.5000, 0.5000, 0.5000)  4 Ba 3.42
Br (0.8292, 0.8292, 0.6529)  3 Ba 3.23
Br (0.8307, 0.8307, 0.1252)  4 Ba 3.31-3.39

***

No. 9
Below is an optimized crystal structure of Li4Ca2Pt, with properties calculated at the PBE level.

Properties
**Density of states at the Fermi level**: 4.78 states/eV per cell
**E_form**: -96 meV per atom
**Theoretical density**: 2.8 g/cm3
**Crystal system**: tetragonal
**Magnetization**: 0.00 Bohr magnetons per cell

a b c (Å): 8.5693 8.5693 8.5693
angles (deg): 147.78 147.78 46.21
Last column: nearest neighbours and their distance in Å.
Positions (direct):
Li (0.0000, 0.5000, 0.5000)  2 Pt 2.38
Li (0.1571, 0.1571, 0.0000)  1 Pt 2.48
Li (0.5000, 0.0000, 0.5000)  2 Pt 2.38
Li (0.8429, 0.8429, 0.0000)  1 Pt 2.48
Ca (0.3665, 0.3665, 0.0000)  9 Li 3.18-3.38
Ca (0.6335, 0.6335, 0.0000)  9 Li 3.18-3.38
Pt (0.0000, 0.0000, 0.0000)  6 Li 2.38-2.48

***

No. 10
Below is an optimized crystal structure of Tm3SbTe2, with properties calculated at the PBE level.

Properties
**Density of states at the Fermi level**: 5.95 states/eV per cell
**Theoretical density**: 8.6 g/cm3
**Crystal system**: monoclinic
**Uncorrected formation energy**: -1174 meV per atom
**Magnetization**: 0.00 Bohr magnetons per cell
**Offset from the most stable computed form**: 0.003 eV/atom

a b c (Å): 7.4697 7.4697 7.4870
angles (deg): 99.56 99.56 119.93
Last column: nearest neighbours and their distance in Å.
Positions (direct):
Tm (0.0786, 0.4178, 0.7582)  2 Sb 2.99, 4 Te 3.06-3.12
Tm (0.2370, 0.2370, 0.2379)  2 Sb 2.99, 4 Te 3.05-3.10
Tm (0.4178, 0.0786, 0.7582)  2 Sb 2.99, 4 Te 3.06-3.12
Tm (0.5822, 0.9214, 0.2418)  2 Sb 2.99, 4 Te 3.06-3.12
Tm (0.7630, 0.7630, 0.7621)  2 Sb 2.99, 4 Te 3.05-3.10
Tm (0.9214, 0.5822, 0.2418)  2 Sb 2.99, 4 Te 3.06-3.12
Sb (0.1681, 0.8319, 0.0000)  6 Tm 2.99
Sb (0.8319, 0.1681, 0.0000)  6 Tm 2.99
Te (0.0000, 0.0000, 0.5000)  6 Tm 3.05-3.10
Te (0.3364, 0.6636, 0.5000)  6 Tm 3.07-3.12
Te (0.5000, 0.5000, 0.0000)  6 Tm 3.06
Te (0.6636, 0.3364, 0.5000)  6 Tm 3.07-3.12